Computed, not measured: a geometry-optimized Sr2CaCdTe structure at the PBE level of DFT.

Calculated values
energy above the most stable polymorph in this dataset: 169 meV/atom
symmetry: P4/mmm
energy relative to the elements, uncorrected: -0.241 eV per atom

Cell lengths 6.250, 5.900, 6.250 Å; angles 90.00, 90.00, 90.00 degrees
Fractional positions:
Sr1 0.000 0.000 0.500
Sr2 0.500 0.000 0.000
Ca1 0.500 0.500 0.500
Te1 0.000 0.000 0.000
Cd1 0.000 0.500 0.000

Computed, not measured: a geometry-optimized Sr2CaCdTe structure at the PBE level of DFT.

Calculated values
energy above the most stable polymorph in this dataset: 0 meV/atom
symmetry: P4/mmm
energy relative to the elements, uncorrected: -0.411 eV per atom

Cell lengths 6.276, 5.842, 6.276 Å; angles 90.00, 90.00, 90.00 degrees
Fractional positions:
Sr1 0.000 0.000 0.500
Sr2 0.500 0.000 0.000
Ca1 0.000 0.500 0.000
Te1 0.000 0.000 0.000
Cd1 0.500 0.500 0.500

Computed, not measured: a geometry-optimized Sr2CaTl6Cd structure at the PBE level of DFT.

Calculated values
symmetry: Fm-3m
E_form: -0.01 eV/atom

Cell lengths 8.120, 8.120, 8.120 Å; angles 60.00, 60.00, 90.00 degrees
Fractional positions:
Sr1 0.250 0.750 0.500
Sr2 0.750 0.250 0.500
Ca1 0.500 0.500 0.000
Tl1 0.244 0.756 0.000
Tl2 0.756 0.756 0.000
Tl3 0.244 0.244 0.513
Tl4 0.756 0.244 0.000
Tl5 0.244 0.244 0.000
Tl6 0.756 0.756 0.487
Cd1 0.000 0.000 0.000